Material: ScCr2Mo
Method: DFT, PBE
State: optimized geometry

Cell: 4.1743 2.8167 5.3426 Å, 78.26 90.00 90.00°
Closest atoms and distances in Å follow each position.
Positions (direct):
Sc: 0.5000 0.7500 0.7500  2 Mo 2.75, 4 Cr 2.80, 2 Sc 2.82
Cr: 0.0000 0.9953 0.0487  1 Cr 2.31, 2 Mo 2.52
Cr: 0.0000 0.5047 0.4513  1 Cr 2.31, 2 Mo 2.52
Mo: 0.5000 0.2500 0.2500  4 Cr 2.52, 2 Sc 2.75, 2 Mo 2.82

Output
V   15.38 A^3/atom
E_form   299.8 meV per atom


Material: NbTcTe2I
Method: DFT, PBE
State: optimized geometry

Cell: 5.4316 5.4316 5.5753 Å, 90.00 90.00 90.00°
Closest atoms and distances in Å follow each position.
Positions (direct):
Nb: 0.0000 0.0000 0.0000  4 Te 2.72, 2 I 2.79
I: 0.0000 0.0000 0.5000  2 Nb 2.79
Te: 0.0000 0.5000 0.0000  2 Nb 2.72
Te: 0.5000 0.0000 0.0000  2 Nb 2.72
Tc: 0.5000 0.5000 0.5000  4 I 3.84, 8 Te 3.89

Output
V   32.90 A^3/atom
Formation energy without anion corrections   0.99 eV/atom


Material: La4SnRu2
Method: DFT, PBE
State: optimized geometry

Cell: 4.8465 4.8465 10.3690 Å, 76.48 76.48 60.00°
Closest atoms and distances in Å follow each position.
Positions (direct):
La: 0.6123 0.6123 0.1631  3 Ru 3.09, 3 Sn 3.24
La: 0.2052 0.2052 0.3844  4 Ru 2.94-3.21
La: 0.7948 0.7948 0.6156  4 Ru 2.94-3.21
La: 0.3877 0.3877 0.8369  3 Ru 3.09, 3 Sn 3.24
Sn: 0.0000 0.0000 0.0000  2 Ru 2.94, 6 La 3.24
Ru: 0.0982 0.0982 0.7055  7 La 2.94-3.21, 1 Sn 2.94
Ru: 0.9018 0.9018 0.2945  7 La 2.94-3.21, 1 Sn 2.94

Output
V   29.01 A^3/atom
E_form   -337.1 meV per atom


Material: SrGaRe2Pb
Method: DFT, PBE
State: optimized geometry

Cell: 5.1805 5.3393 5.1805 Å, 90.00 90.00 90.00°
Closest atoms and distances in Å follow each position.
Positions (direct):
Re: 0.5000 0.0000 0.0000  2 Pb 2.59
Re: 0.0000 0.0000 0.5000  2 Pb 2.59
Sr: 0.5000 0.5000 0.5000  4 Ga 3.66, 8 Re 3.72
Pb: 0.0000 0.0000 0.0000  4 Re 2.59, 2 Ga 2.67
Ga: 0.0000 0.5000 0.0000  2 Pb 2.67

Output
V   28.66 A^3/atom
E_form   1844.5 meV per atom